DFT (PBE-GGA) results for Ta4Nb2Ga3N3 after structural relaxation.

Unit cell a=5.185 b=5.185 c=14.643 alpha=100.22 beta=100.22 gamma=59.97
Fractional positions:
N  0.841  0.329  0.000
N  0.329  0.841  0.500
N  0.671  0.159  0.500
N  0.159  0.671  0.000
N  0.000  0.500  0.500
N  0.500  0.000  0.000
Ta  0.863  0.698  0.095
Ta  0.029  0.201  0.595
Ta  0.698  0.863  0.595
Ta  0.799  0.971  0.905
Ta  0.137  0.302  0.905
Ta  0.302  0.137  0.405
Ta  0.971  0.799  0.405
Ta  0.201  0.029  0.095
Nb  0.633  0.467  0.403
Nb  0.367  0.533  0.597
Nb  0.533  0.367  0.097
Nb  0.467  0.633  0.903
Ga  0.584  0.754  0.250
Ga  0.078  0.922  0.750
Ga  0.416  0.246  0.750
Ga  0.246  0.416  0.250
Ga  0.922  0.078  0.250
Ga  0.754  0.584  0.750

magnetic moment	0.00	μB per formula unit
E	-218.8	eV/cell


DFT (PBE-GGA) results for Na4BiAsPt2 after structural relaxation.

Unit cell a=4.719 b=4.719 c=6.963 alpha=90.00 beta=90.00 gamma=90.00
Fractional positions:
Na  0.500  0.000  0.773
Na  0.500  0.500  0.000
Na  0.000  0.000  0.500
Na  0.000  0.500  0.227
Bi  0.500  0.500  0.500
As  0.000  0.000  0.000
Pt  0.000  0.500  0.767
Pt  0.500  0.000  0.233

magnetic moment	0.01	μB per formula unit
E	-28.0	eV/cell


DFT (PBE-GGA) results for NaHfAl after structural relaxation.

Unit cell a=4.587 b=4.587 c=4.587 alpha=60.00 beta=60.00 gamma=60.00
Fractional positions:
Al  0.250  0.250  0.250
Hf  0.750  0.750  0.750
Na  0.000  0.000  0.000

magnetic moment	0.00	μB per formula unit
E	-11.8	eV/cell


DFT (PBE-GGA) results for YSnOs after structural relaxation.

Unit cell a=4.756 b=4.756 c=4.756 alpha=60.00 beta=60.00 gamma=60.00
Fractional positions:
Os  0.250  0.250  0.250
Y  0.000  0.000  0.000
Sn  0.750  0.750  0.750

magnetic moment	0.00	μB per formula unit
E	-19.5	eV/cell


DFT (PBE-GGA) results for Hf2Nb2Re after structural relaxation.

Unit cell a=8.130 b=8.130 c=8.130 alpha=154.49 beta=154.49 gamma=36.39
Fractional positions:
Hf  0.590  0.590  0.000
Hf  0.410  0.410  0.000
Re  0.000  0.000  0.000
Nb  0.250  0.750  0.500
Nb  0.750  0.250  0.500

magnetic moment	0.01	μB per formula unit
E_form	0.65	eV per atom
E	-49.2	eV/cell


DFT (PBE-GGA) results for HoScGe2 after structural relaxation.

Unit cell a=3.169 b=6.263 c=6.263 alpha=53.74 beta=90.00 gamma=90.00
Fractional positions:
Ho  0.000  0.143  0.143
Ge  0.000  0.394  0.394
Ge  0.000  0.614  0.614
Sc  0.000  0.848  0.848

magnetic moment	0.40	μB per formula unit
E	-19.9	eV/cell


DFT (PBE-GGA) results for AgB6 after structural relaxation.

Unit cell a=4.147 b=4.147 c=4.147 alpha=90.00 beta=90.00 gamma=90.00
Fractional positions:
B  0.500  0.500  0.197
B  0.500  0.500  0.803
B  0.500  0.803  0.500
B  0.803  0.500  0.500
B  0.500  0.197  0.500
B  0.197  0.500  0.500
Ag  0.000  0.000  0.000

E	-40.4	eV/cell


DFT (PBE-GGA) results for CsCuSnTe3 after structural relaxation.

Unit cell a=9.845 b=4.363 c=11.236 alpha=90.00 beta=114.58 gamma=90.00
Fractional positions:
Cs  0.240  0.250  0.783
Cs  0.760  0.750  0.217
Te  0.891  0.750  0.679
Te  0.109  0.250  0.321
Te  0.778  0.250  0.939
Te  0.550  0.250  0.364
Te  0.450  0.750  0.636
Te  0.222  0.750  0.061
Sn  0.327  0.750  0.349
Sn  0.673  0.250  0.651
Cu  0.065  0.250  0.070
Cu  0.935  0.750  0.930

E	-40.8	eV/cell


DFT (PBE-GGA) results for K2Cu2SnSe4 after structural relaxation.

Unit cell a=7.639 b=5.558 c=12.283 alpha=90.00 beta=113.40 gamma=90.00
Fractional positions:
Cu  0.500  0.249  0.984
Cu  0.500  0.751  0.016
Cu  0.500  0.751  0.484
Cu  0.500  0.249  0.516
Se  0.284  0.512  0.565
Se  0.717  0.986  0.672
Se  0.284  0.488  0.065
Se  0.283  0.986  0.828
Se  0.283  0.014  0.328
Se  0.716  0.488  0.435
Se  0.717  0.014  0.172
Se  0.716  0.512  0.935
K  0.000  0.485  0.750
K  0.000  0.000  0.500
K  0.000  0.000  0.000
K  0.000  0.515  0.250
Sn  0.500  0.251  0.250
Sn  0.500  0.749  0.750

E	-66.5	eV/cell


DFT (PBE-GGA) results for DyYNF2 after structural relaxation.

Unit cell a=3.475 b=3.475 c=6.615 alpha=90.00 beta=90.00 gamma=120.00
Fractional positions:
Y  0.667  0.333  0.301
N  0.333  0.667  0.502
F  0.000  0.000  0.118
F  0.667  0.333  0.879
Dy  0.000  0.000  0.700

magnetic moment	0.00	μB per formula unit
E	-37.1	eV/cell


DFT (PBE-GGA) results for Na4Zn2PdPt after structural relaxation.

Unit cell a=4.693 b=4.693 c=6.637 alpha=90.00 beta=90.00 gamma=90.00
Fractional positions:
Na  0.000  0.500  0.752
Na  0.500  0.500  0.000
Na  0.500  0.000  0.248
Na  0.000  0.000  0.500
Pt  0.500  0.500  0.500
Pd  0.000  0.000  0.000
Zn  0.000  0.500  0.258
Zn  0.500  0.000  0.742

magnetic moment	0.00	μB per formula unit
E	-20.1	eV/cell


DFT (PBE-GGA) results for PrBiPO after structural relaxation.

Unit cell a=5.638 b=5.638 c=5.444 alpha=90.00 beta=90.00 gamma=90.00
Fractional positions:
Bi  0.750  0.750  0.998
Bi  0.250  0.250  0.002
O  0.750  0.250  0.000
O  0.250  0.750  0.000
P  0.250  0.250  0.502
P  0.750  0.750  0.498
Pr  0.750  0.250  0.500
Pr  0.250  0.750  0.500

magnetic moment	0.01	μB per formula unit
E	-46.1	eV/cell